Entry 1:
A relaxed structure of Ti2AlTe, computed with PBE-GGA.

a = 6.656 Å, b = 6.656 Å, c = 6.656 Å
α = 90.00°, β = 90.00°, γ = 90.00°
Space group Fm-3m (No. 225)
Symmetry-distinct sites (fractional):
Ti1 0.250 0.250 0.250 x8
Al1 0.000 0.000 0.000 x4
Te1 0.000 0.000 0.500 x4

uncorrected formation energy: -0.066 eV per atom
crystal system: cubic
polymorph energy (0 for the lowest one): 0 meV per atom



Entry 2:
A relaxed structure of Hf2GaN, computed with PBE-GGA.

a = 6.414 Å, b = 6.414 Å, c = 6.707 Å
α = 90.00°, β = 90.00°, γ = 90.00°
Space group I-42d (No. 122)
Symmetry-distinct sites (fractional):
Hf1 0.169 0.250 0.125 x8
Ga1 0.000 0.000 0.500 x4
N1 0.000 0.000 0.000 x4

uncorrected formation energy: -0.679 eV per atom
crystal system: tetragonal



Entry 3:
A relaxed structure of Y2Al2VRu5, computed with PBE-GGA.

a = 10.080 Å, b = 10.080 Å, c = 3.239 Å
α = 90.00°, β = 90.00°, γ = 90.00°
Space group P4/mbm (No. 127)
Symmetry-distinct sites (fractional):
Y1 0.171 0.329 0.000 x4
Al1 0.129 0.629 0.000 x4
V1 0.000 0.000 0.000 x2
Ru1 0.000 0.500 0.500 x2
Ru2 0.063 0.807 0.500 x8

energy of formation: -0.3811 eV per atom
crystal system: tetragonal



Entry 4:
A relaxed structure of MnAl2Se, computed with PBE-GGA.

a = 3.1018 Å, b = 3.1018 Å, c = 23.5282 Å
α = 90.00°, β = 90.00°, γ = 120.00°
Space group R-3m (No. 166, hexagonal axes)
Symmetry-distinct sites (fractional):
Mn1 0.0000 0.0000 0.0000 x3
Al1 0.0000 0.0000 0.2533 x6
Se1 0.0000 0.0000 0.5000 x3

uncorrected formation energy: -0.016 eV per atom
crystal system: trigonal



Which formula does entry 4 have? MnAl2Se